# 1
Entry from the Alexandria database: an optimized crystal structure of Y2SiPb2 (PBE-GGA).

Values from the calculation:
excess energy over the best structure of this formula in the dataset	0.124	eV per atom

Cell lengths 7.765, 7.765, 4.519 Å; angles 90.00, 90.00, 90.00 degrees
Space group P4/mbm (No. 127)
One atom of each set of equivalent atoms:
Y1 0.172 0.328 0.000 [4 per cell]
Si1 0.000 0.000 0.500 [2 per cell]
Pb1 0.138 0.638 0.500 [4 per cell]

---

# 2
Entry from the Alexandria database: an optimized crystal structure of NaMg2Ga6 (PBE-GGA).

Values from the calculation:
energy of formation	-0.11	eV/atom

Cell lengths 3.964, 7.371, 12.636 Å; angles 90.00, 90.00, 90.00 degrees
Space group Immm (No. 71)
One atom of each set of equivalent atoms:
Na1 0.000 0.000 0.000 [2 per cell]
Mg1 0.000 0.500 0.125 [4 per cell]
Ga1 0.000 0.178 0.500 [4 per cell]
Ga2 0.000 0.316 0.314 [8 per cell]